Record 1
Below is a relaxed AgHg2Pd8 crystal, with properties calculated at the GGA-PBE level.

Computed properties:
Density of states at the Fermi level in states/eV/cell: 21.3
Polymorph energy (0 for the lowest one) in eV per atom: 0.097
Total energy in eV per atom: -4.0156
Energy relative to the elements in eV per atom: 0.075

a = 7.333 Å, b = 14.250 Å, c = 4.880 Å
α = 90.00°, β = 130.40°, γ = 90.00°
Space group C2/m (No. 12)
Inequivalent atoms, fractional coordinates:
Ag 0.000 0.000 0.000 (multiplicity 2)
Hg 0.000 0.315 0.500 (multiplicity 4)
Pd 0.000 0.194 0.000 (multiplicity 4)
Pd 0.047 0.500 0.792 (multiplicity 4)
Pd 0.239 0.136 0.724 (multiplicity 8)

***

Record 2
Below is a relaxed RbZn2Cd crystal, with properties calculated at the GGA-PBE level.

Computed properties:
Density of states at the Fermi level in states/eV/cell: 5.1
Total energy in eV per atom: -0.9664
Energy relative to the elements in eV per atom: 0.141

a = 5.421 Å, b = 5.421 Å, c = 18.887 Å
α = 90.00°, β = 90.00°, γ = 90.00°
Space group I4_1/amd (No. 141, origin choice 2)
Inequivalent atoms, fractional coordinates:
Rb 0.000 0.250 0.375 (multiplicity 4)
Zn 0.000 0.000 0.000 (multiplicity 8)
Cd 0.000 0.250 0.875 (multiplicity 4)

***

Number 1: magnetic moment 0.00 μB per formula unit. Number 2: magnetic moment 0.00 μB per formula unit.